Model P:
## PmNdInAu (PBE)

Data for a relaxed PmNdInAu crystal.

It has space group F-43m (No. 216), with a = 7.6009 Å, b = 7.6009 Å, c = 7.6009 Å, α = 90.00°, β = 90.00° and γ = 90.00°. The asymmetric unit holds Pm at (0.0000, 0.0000, 0.0000), Nd at (0.0000, 0.0000, 0.5000), In at (0.2500, 0.2500, 0.7500) and Au at (0.2500, 0.2500, 0.2500).

Its density of states at the Fermi level is 18.039 states/eV/cell. Its crystal system is cubic.


Model Q:
## PmNdInAu (PBE)

Data for a relaxed PmNdInAu crystal.

It has space group P4mm (No. 99), with a = 3.7042 Å, b = 3.7042 Å, c = 7.9374 Å, α = 90.00°, β = 90.00° and γ = 90.00°. The asymmetric unit holds Pm at (0.0000, 0.0000, 0.0000), Nd at (0.0000, 0.0000, 0.5365), In at (0.5000, 0.5000, 0.2666) and Au at (0.5000, 0.5000, 0.7754).

Its density of states at the Fermi level is 3.210 states/eV/cell. Its crystal system is tetragonal.


Most stable of them? model Q.